FeNiOs2: relaxed, PBE.

a b c (Å): 4.2163 4.2163 4.2163
angles (deg): 60.00 60.00 60.00
Last column: nearest neighbours and their distance in Å.
Fractional coordinates of all 4 atoms:
Fe  0.0000  0.0000  0.0000  4 Os 2.58, 4 Ni 2.58
Ni  0.2500  0.2500  0.2500  4 Fe 2.58, 4 Os 2.58
Os  0.5000  0.5000  0.5000  4 Os 2.58, 4 Ni 2.58
Os  0.7500  0.7500  0.7500  4 Fe 2.58, 4 Os 2.58

Properties
The calculation puts the formation energy at 0.353 eV per atom. The value obtained for the calculated total energy is -8.823 eV per atom. The calculation puts the volume at 13.25 A^3/atom.

---

LiPrTmSc: relaxed, PBE.

a b c (Å): 5.3920 5.3920 5.3920
angles (deg): 60.00 60.00 60.00
Last column: nearest neighbours and their distance in Å.
Fractional coordinates of all 4 atoms:
Li  0.0000  0.0000  0.0000  4 Pr 3.30, 4 Tm 3.30
Pr  0.2500  0.2500  0.2500  4 Sc 3.30, 4 Li 3.30
Tm  0.7500  0.7500  0.7500  4 Sc 3.30, 4 Li 3.30
Sc  0.5000  0.5000  0.5000  4 Pr 3.30, 4 Tm 3.30

Properties
The calculation puts the formation energy at 0.152 eV per atom. The value obtained for the calculated total energy is -4.222 eV per atom. The calculation puts the volume at 27.71 A^3/atom.

---

CeSmCdSn: relaxed, PBE.

a b c (Å): 5.4108 5.4108 5.4108
angles (deg): 60.00 60.00 60.00
Last column: nearest neighbours and their distance in Å.
Fractional coordinates of all 4 atoms:
Ce  0.0000  0.0000  0.0000  4 Cd 3.31, 4 Sn 3.31
Sm  0.5000  0.5000  0.5000  4 Sn 3.31, 4 Cd 3.31
Cd  0.2500  0.2500  0.2500  4 Sm 3.31, 4 Ce 3.31
Sn  0.7500  0.7500  0.7500  4 Sm 3.31, 4 Ce 3.31

Properties
The calculation puts the formation energy at -0.446 eV per atom. The value obtained for the calculated total energy is -4.339 eV per atom. The calculation puts the volume at 28.00 A^3/atom.

---

La3Tl12Bi5: relaxed, PBE.

a b c (Å): 16.0705 16.0705 16.0705
angles (deg): 109.47 109.47 109.47
Last column: nearest neighbours and their distance in Å.
Fractional coordinates of all 80 atoms:
La  0.1250  0.2500  0.3750  4 Tl 3.17
La  0.1250  0.3750  0.7500  4 Tl 3.17
La  0.2500  0.3750  0.1250  4 Tl 3.17
La  0.2500  0.8750  0.6250  4 Tl 3.17
La  0.3750  0.1250  0.2500  4 Tl 3.17
La  0.3750  0.7500  0.1250  4 Tl 3.17
La  0.6250  0.2500  0.8750  4 Tl 3.17
La  0.6250  0.8750  0.7500  4 Tl 3.17
La  0.7500  0.1250  0.3750  4 Tl 3.17
La  0.7500  0.6250  0.8750  4 Tl 3.17
La  0.8750  0.6250  0.2500  4 Tl 3.17
La  0.8750  0.7500  0.6250  4 Tl 3.17
Tl  0.0491  0.2297  0.1102  2 Bi 3.00-3.19, 1 La 3.17
Tl  0.0491  0.3194  0.9389  2 Bi 3.00-3.19, 1 La 3.17
Tl  0.0611  0.6102  0.3805  2 Bi 3.00-3.19, 1 La 3.17
Tl  0.0611  0.9509  0.6806  2 Bi 3.00-3.19, 1 La 3.17
Tl  0.1102  0.0491  0.2297  2 Bi 3.00-3.19, 1 La 3.17
Tl  0.1102  0.5611  0.8805  2 Bi 3.00-3.19, 1 La 3.17
Tl  0.1195  0.7297  0.6806  2 Bi 3.00-3.19, 1 La 3.17
Tl  0.1195  0.8898  0.4389  2 Bi 3.00-3.19, 1 La 3.17
Tl  0.1806  0.2297  0.6195  2 Bi 3.00-3.19, 1 La 3.17
Tl  0.1806  0.4509  0.5611  2 Bi 3.00-3.19, 1 La 3.17
Tl  0.2297  0.1102  0.0491  2 Bi 3.00-3.19, 1 La 3.17
Tl  0.2297  0.6195  0.1806  2 Bi 3.00-3.19, 1 La 3.17
Tl  0.2703  0.3194  0.8805  2 Bi 3.00-3.19, 1 La 3.17
Tl  0.2703  0.4509  0.3898  2 Bi 3.00-3.19, 1 La 3.17
Tl  0.3194  0.8805  0.2703  2 Bi 3.00-3.19, 1 La 3.17
Tl  0.3194  0.9389  0.0491  2 Bi 3.00-3.19, 1 La 3.17
Tl  0.3805  0.0611  0.6102  2 Bi 3.00-3.19, 1 La 3.17
Tl  0.3805  0.8194  0.7703  2 Bi 3.00-3.19, 1 La 3.17
Tl  0.3898  0.2703  0.4509  2 Bi 3.00-3.19, 1 La 3.17
Tl  0.3898  0.6195  0.9389  2 Bi 3.00-3.19, 1 La 3.17
Tl  0.4389  0.1195  0.8898  2 Bi 3.00-3.19, 1 La 3.17
Tl  0.4389  0.8194  0.5491  2 Bi 3.00-3.19, 1 La 3.17
Tl  0.4509  0.3898  0.2703  2 Bi 3.00-3.19, 1 La 3.17
Tl  0.4509  0.5611  0.1806  2 Bi 3.00-3.19, 1 La 3.17
Tl  0.5491  0.4389  0.8194  2 Bi 3.00-3.19, 1 La 3.17
Tl  0.5491  0.6102  0.7297  2 Bi 3.00-3.19, 1 La 3.17
Tl  0.5611  0.1806  0.4509  2 Bi 3.00-3.19, 1 La 3.17
Tl  0.5611  0.8805  0.1102  2 Bi 3.00-3.19, 1 La 3.17
Tl  0.6102  0.3805  0.0611  2 Bi 3.00-3.19, 1 La 3.17
Tl  0.6102  0.7297  0.5491  2 Bi 3.00-3.19, 1 La 3.17
Tl  0.6195  0.1806  0.2297  2 Bi 3.00-3.19, 1 La 3.17
Tl  0.6195  0.9389  0.3898  2 Bi 3.00-3.19, 1 La 3.17
Tl  0.6806  0.0611  0.9509  2 Bi 3.00-3.19, 1 La 3.17
Tl  0.6806  0.1195  0.7297  2 Bi 3.00-3.19, 1 La 3.17
Tl  0.7297  0.5491  0.6102  2 Bi 3.00-3.19, 1 La 3.17
Tl  0.7297  0.6806  0.1195  2 Bi 3.00-3.19, 1 La 3.17
Tl  0.7703  0.3805  0.8194  2 Bi 3.00-3.19, 1 La 3.17
Tl  0.7703  0.8898  0.9509  2 Bi 3.00-3.19, 1 La 3.17
Tl  0.8194  0.5491  0.4389  2 Bi 3.00-3.19, 1 La 3.17
Tl  0.8194  0.7703  0.3805  2 Bi 3.00-3.19, 1 La 3.17
Tl  0.8805  0.1102  0.5611  2 Bi 3.00-3.19, 1 La 3.17
Tl  0.8805  0.2703  0.3194  2 Bi 3.00-3.19, 1 La 3.17
Tl  0.8898  0.4389  0.1195  2 Bi 3.00-3.19, 1 La 3.17
Tl  0.8898  0.9509  0.7703  2 Bi 3.00-3.19, 1 La 3.17
Tl  0.9389  0.0491  0.3194  2 Bi 3.00-3.19, 1 La 3.17
Tl  0.9389  0.3898  0.6195  2 Bi 3.00-3.19, 1 La 3.17
Tl  0.9509  0.6806  0.0611  2 Bi 3.00-3.19, 1 La 3.17
Tl  0.9509  0.7703  0.8898  2 Bi 3.00-3.19, 1 La 3.17
Bi  0.0000  0.0000  0.0000  6 Tl 3.19
Bi  0.0000  0.0000  0.5000  6 Tl 3.19
Bi  0.0000  0.5000  0.0000  6 Tl 3.19
Bi  0.0000  0.5000  0.5000  6 Tl 3.19
Bi  0.1250  0.7500  0.8750  4 Tl 3.00
Bi  0.1250  0.8750  0.2500  4 Tl 3.00
Bi  0.2500  0.1250  0.8750  4 Tl 3.00
Bi  0.2500  0.6250  0.3750  4 Tl 3.00
Bi  0.3750  0.2500  0.6250  4 Tl 3.00
Bi  0.3750  0.6250  0.7500  4 Tl 3.00
Bi  0.5000  0.0000  0.0000  6 Tl 3.19
Bi  0.5000  0.0000  0.5000  6 Tl 3.19
Bi  0.5000  0.5000  0.0000  6 Tl 3.19
Bi  0.5000  0.5000  0.5000  6 Tl 3.19
Bi  0.6250  0.3750  0.2500  4 Tl 3.00
Bi  0.6250  0.7500  0.3750  4 Tl 3.00
Bi  0.7500  0.3750  0.6250  4 Tl 3.00
Bi  0.7500  0.8750  0.1250  4 Tl 3.00
Bi  0.8750  0.1250  0.7500  4 Tl 3.00
Bi  0.8750  0.2500  0.1250  4 Tl 3.00

Properties
The calculation puts the formation energy at 0.122 eV per atom. The value obtained for the calculated total energy is -3.007 eV per atom. The calculation puts the volume at 39.94 A^3/atom.